# Al2Ga2O (PBE-GGA, relaxed)
# SG = I4/mmm, No. 139
# Raw formation energy = 1.16 eV per formula unit
# Energy relative to the lowest polymorph listed for this composition = 1.52 eV/f.u.
data_Al2Ga2O
_space_group_name_H-M_alt 'P 1'
_space_group_IT_number 1
_space_group_name_Hall 'P 1'
_cell_length_a 3.559
_cell_length_b 3.559
_cell_length_c 7.474
_cell_angle_alpha 76.23
_cell_angle_beta 76.23
_cell_angle_gamma 90.00
loop_
_atom_site_label
_atom_site_fract_x
_atom_site_fract_y
_atom_site_fract_z
Ga1 0.587 0.587 0.826
Ga2 0.413 0.413 0.174
Al1 0.750 0.250 0.500
Al2 0.250 0.750 0.500
O1 0.000 0.000 0.000



# AlGa2O4 (PBE-GGA, relaxed)
# SG = P2/m, No. 10
# Raw formation energy = -13.76 eV per formula unit
# Energy relative to the lowest polymorph listed for this composition = 0.00 eV/f.u.
data_AlGa2O4
_space_group_name_H-M_alt 'P 1'
_space_group_IT_number 1
_space_group_name_Hall 'P 1'
_cell_length_a 2.989
_cell_length_b 5.470
_cell_length_c 8.792
_cell_angle_alpha 83.43
_cell_angle_beta 90.00
_cell_angle_gamma 90.00
loop_
_atom_site_label
_atom_site_fract_x
_atom_site_fract_y
_atom_site_fract_z
O1 0.000 0.829 0.397
O2 0.500 0.396 0.370
O3 0.000 0.790 0.840
O4 0.500 0.845 0.119
O5 0.000 0.210 0.160
O6 0.000 0.171 0.603
O7 0.500 0.604 0.630
O8 0.500 0.155 0.881
Ga1 0.500 0.991 0.688
Ga2 0.500 0.476 0.142
Ga3 0.500 0.524 0.858
Ga4 0.500 0.009 0.312
Al1 0.000 0.500 0.500
Al2 0.000 0.000 0.000



# Al2GaO4 (PBE-GGA, relaxed)
# SG = C2/m, No. 12
# Raw formation energy = -16.08 eV per formula unit
# Energy relative to the lowest polymorph listed for this composition = 0.00 eV/f.u.
data_Al2GaO4
_space_group_name_H-M_alt 'P 1'
_space_group_IT_number 1
_space_group_name_Hall 'P 1'
_cell_length_a 2.850
_cell_length_b 4.943
_cell_length_c 5.862
_cell_angle_alpha 108.02
_cell_angle_beta 104.07
_cell_angle_gamma 90.00
loop_
_atom_site_label
_atom_site_fract_x
_atom_site_fract_y
_atom_site_fract_z
O1 0.338 0.663 0.677
O2 0.847 0.144 0.693
O3 0.153 0.856 0.307
O4 0.662 0.337 0.323
Al1 0.266 0.264 0.532
Al2 0.734 0.736 0.468
Ga1 0.000 0.000 0.000